Computed, not measured: an optimized crystal structure of Ta3MoF at the PBE with a Hubbard U level of DFT.

Calculated values
* energy relative to the lowest polymorph listed for this composition: 1253.0 meV per atom
* symmetry: Pm-3m
* DOS at the Fermi energy: 0.82 states/eV/atom
* density: 9.36 g/cm3

a b c (Å): 4.8869 4.8869 4.8869
angles (deg): 90.00 90.00 90.00
Closest atoms and distances in Å follow each position.
Sites, in units of the cell vectors:
Mo (0.0000, 0.0000, 0.0000)  6 Ta 2.44
F (0.5000, 0.5000, 0.5000)  12 Ta 3.46
Ta (0.0000, 0.5000, 0.0000)  2 Mo 2.44
Ta (0.0000, 0.0000, 0.5000)  2 Mo 2.44
Ta (0.5000, 0.0000, 0.0000)  2 Mo 2.44